## ScMn2As (PBE)

Data for ScMn2As after structural relaxation.

Structure (POSCAR):
```
ScMn2As
1.0
-2.0550 2.2433 -1.1198
0.3496 -1.1808 -3.0070
-4.4070 -3.5893 0.8970
As Mn Sc
1 2 1
Direct
0.5000 0.5000 0.7500
0.0000 0.0000 0.9658
0.0000 0.0000 0.5342
0.5000 0.5000 0.2500
```

Output
Formation enthalpy at 0 K, eV per atom: -0.120
Space group: P4/mmm, No. 123
Calculated volume, Å³ per cell: 60.6
Raw total energy, eV/atom: -7.450